(1)
DFT (PBE) results for a relaxed Th2AuN crystal.

Its formation energy (no corrections) is -0.92 eV per atom.

The structure belongs to space group R-3m (No. 166, hexagonal axes); the cell edges are 3.7649, 3.7649 and 21.9947 Å and the angles 90.00°, 90.00° and 120.00°. The inequivalent atoms are Th at (0.0000, 0.0000, 0.2293), Au at (0.0000, 0.0000, 0.0000) and N at (0.0000, 0.0000, 0.5000).

---

(2)
DFT (PBE) results for a relaxed Ho4TcBr5 crystal.

Its formation energy (no corrections) is -1.24 eV per atom.

The structure belongs to space group C2/m (No. 12); the cell edges are 18.368, 3.774 and 9.152 Å and the angles 90.00°, 104.33° and 90.00°. The inequivalent atoms are Ho at (0.002, 0.000, 0.233), Ho at (0.142, 0.500, 0.074), Tc at (0.000, 0.500, 0.000), Br at (0.000, 0.500, 0.500), Br at (0.169, 0.000, 0.324) and Br at (0.174, 0.000, 0.850).

---

(3)
DFT (PBE) results for a relaxed Sm2Ga3Ir crystal.

Its formation energy is -414 kJ/mol of formula units.

The structure belongs to space group Cm (No. 8); the cell edges are 10.579, 4.366 and 7.233 Å and the angles 90.00°, 131.39° and 90.00°. The inequivalent atoms are Sm at (0.000, 0.000, 0.000), Sm at (0.100, 0.000, 0.609), Ga at (0.205, 0.500, 0.005), Ga at (0.221, 0.500, 0.415), Ga at (0.381, 0.000, 0.217) and Ir at (0.390, 0.000, 0.610).